# CaReSi2, relaxed, DFT PBE
# SG: P4/mmm (123)
# E_tot (eV/cell): -26.36
# Formation energy (no corrections) (meV per atom): -266
# M_tot (μB per cell): 0.00
data_CaReSi2
_chemical_formula_sum 'Ca1 Re1 Si2'
_cell_length_a 3.135
_cell_length_b 3.135
_cell_length_c 6.971
_cell_angle_alpha 90.00
_cell_angle_beta 90.00
_cell_angle_gamma 90.01
_space_group_name_H-M_alt 'P 1'
_space_group_IT_number 1
loop_
_space_group_symop_operation_xyz
'x,y,z'
loop_
_atom_site_label
_atom_site_type_symbol
_atom_site_fract_x
_atom_site_fract_y
_atom_site_fract_z
_atom_site_occupancy
Ca1 Ca 0.500 0.500 0.250 1
Re1 Re 0.500 0.500 0.750 1
Si1 Si 0.000 0.000 0.939 1
Si2 Si 0.000 0.000 0.561 1